(A)
# Th2MnCu, relaxed, DFT GGA-PBE
# Crystal system: trigonal
data_Th2MnCu
_cell_length_a 3.3190
_cell_length_b 3.3190
_cell_length_c 30.8139
_cell_angle_alpha 90.00
_cell_angle_beta 90.00
_cell_angle_gamma 120.00
_space_group_name_H-M_alt 'R -3 m'
_space_group_IT_number 166
_space_group_name_Hall '-R 3 2"'
loop_
_atom_site_label
_atom_site_type_symbol
_atom_site_fract_x
_atom_site_fract_y
_atom_site_fract_z
Th1 Th 0.0000 0.0000 0.0907
Mn1 Mn 0.0000 0.0000 0.0000
Cu1 Cu 0.0000 0.0000 0.5000

(B)
# Th2MnCu, relaxed, DFT GGA-PBE
# Crystal system: cubic
data_Th2MnCu
_cell_length_a 7.135
_cell_length_b 7.135
_cell_length_c 7.135
_cell_angle_alpha 90.00
_cell_angle_beta 90.00
_cell_angle_gamma 90.00
_space_group_name_H-M_alt 'F m -3 m'
_space_group_IT_number 225
_space_group_name_Hall '-F 4 2 3'
loop_
_atom_site_label
_atom_site_type_symbol
_atom_site_fract_x
_atom_site_fract_y
_atom_site_fract_z
Th1 Th 0.250 0.250 0.250
Mn1 Mn 0.000 0.000 0.000
Cu1 Cu 0.000 0.000 0.500

(C)
# Th2MnCu, relaxed, DFT GGA-PBE
# Crystal system: tetragonal
data_Th2MnCu
_cell_length_a 5.053
_cell_length_b 5.053
_cell_length_c 3.560
_cell_angle_alpha 90.00
_cell_angle_beta 90.00
_cell_angle_gamma 90.00
_space_group_name_H-M_alt 'P 4/m m m'
_space_group_IT_number 123
_space_group_name_Hall '-P 4 2'
loop_
_atom_site_label
_atom_site_type_symbol
_atom_site_fract_x
_atom_site_fract_y
_atom_site_fract_z
Th1 Th 0.000 0.500 0.000
Mn1 Mn 0.000 0.000 0.500
Cu1 Cu 0.500 0.500 0.500

From most stable to least stable, the computed energies give (C), (B), (A).